An optimized crystal structure of Tb3Be4Ir4, computed with PBE.

a b c (Å): 7.077 7.077 7.077
angles (deg): 90.00 90.00 90.00
Space group I-43m (No. 217)
Symmetry-distinct sites (fractional):
Tb: 0.000 0.000 0.500 x6
Be: 0.111 0.111 0.889 x8
Ir: 0.202 0.202 0.202 x8

energy relative to the elements: -0.564 eV per atom
DOS at the Fermi energy: 18.5 states/eV/cell
E_tot: -6.404 eV per atom